[1]
The following is a PBE calculation of NaSrSi2 after structural relaxation, from Alexandria via LeMat-Bulk.

Cell lengths 6.9910, 4.6669, 12.6610 Å; angles 90.00, 90.00, 90.00 degrees
Space group Pnma (No. 62)
Symmetry-distinct sites (fractional):
Na1 0.1509 0.2500 0.0473 (multiplicity 4)
Sr1 0.1460 0.2500 0.3400 (multiplicity 4)
Si1 0.0225 0.2500 0.8248 (multiplicity 4)
Si2 0.1829 0.2500 0.6591 (multiplicity 4)

Summary:
Energy above the most stable polymorph in this dataset: 0 meV/atom
Uncorrected energy: -3.72 eV/atom

=====

[2]
The following is a PBE calculation of NaSrSi2 after structural relaxation, from Alexandria via LeMat-Bulk.

Cell lengths 4.8559, 4.8559, 19.3006 Å; angles 90.00, 90.00, 90.00 degrees
Space group I-42d (No. 122)
Symmetry-distinct sites (fractional):
Na1 0.0000 0.0000 0.0000 (multiplicity 4)
Sr1 0.0000 0.0000 0.5000 (multiplicity 4)
Si1 0.0546 0.2500 0.1250 (multiplicity 8)

Summary:
Energy above the most stable polymorph in this dataset: 491 meV/atom
Uncorrected energy: -3.23 eV/atom

=====

[3]
The following is a PBE calculation of Na2SrSiTe4 after structural relaxation, from Alexandria via LeMat-Bulk.

Cell lengths 12.7515, 12.7118, 7.9293 Å; angles 90.00, 128.45, 90.00 degrees
Space group C2/c (No. 15)
Symmetry-distinct sites (fractional):
Na1 0.0000 0.0000 0.0000 (multiplicity 4)
Na2 0.2500 0.2500 0.0000 (multiplicity 4)
Sr1 0.2500 0.2500 0.5000 (multiplicity 4)
Si1 0.0000 0.5000 0.0000 (multiplicity 4)
Te1 0.0006 0.2633 0.9894 (multiplicity 8)
Te2 0.1979 0.4954 0.9471 (multiplicity 8)

Summary:
Uncorrected energy: -3.42 eV/atom

=====

[4]
The following is a PBE calculation of NaSrTl2Si after structural relaxation, from Alexandria via LeMat-Bulk.

Cell lengths 5.5721, 5.5721, 5.3083 Å; angles 90.00, 90.00, 90.00 degrees
Space group P4/mmm (No. 123)
Symmetry-distinct sites (fractional):
Na1 0.0000 0.0000 0.0000 (multiplicity 1)
Sr1 0.5000 0.5000 0.0000 (multiplicity 1)
Tl1 0.0000 0.5000 0.5000 (multiplicity 2)
Si1 0.0000 0.0000 0.5000 (multiplicity 1)

Summary:
Uncorrected energy: -2.49 eV/atom

=====

[5]
The following is a PBE calculation of NaSr2ZnSi after structural relaxation, from Alexandria via LeMat-Bulk.

Cell lengths 6.0300, 6.0300, 4.8091 Å; angles 90.00, 90.00, 90.00 degrees
Space group P4/mmm (No. 123)
Symmetry-distinct sites (fractional):
Na1 0.0000 0.0000 0.0000 (multiplicity 1)
Sr1 0.0000 0.5000 0.0000 (multiplicity 2)
Zn1 0.0000 0.0000 0.5000 (multiplicity 1)
Si1 0.5000 0.5000 0.5000 (multiplicity 1)

Summary:
Uncorrected energy: -1.69 eV/atom

=====

[6]
The following is a PBE calculation of NaTa2Si after structural relaxation, from Alexandria via LeMat-Bulk.

Cell lengths 3.9625, 3.9625, 19.5933 Å; angles 90.00, 90.00, 90.00 degrees
Space group I-42d (No. 122)
Symmetry-distinct sites (fractional):
Na1 0.0000 0.0000 0.0000 (multiplicity 4)
Ta1 0.2286 0.2500 0.6250 (multiplicity 8)
Si1 0.0000 0.0000 0.5000 (multiplicity 4)

Summary:
Uncorrected energy: -6.70 eV/atom

=====

no.,uncorrected formation energy (eV per atom)
1,-0.261
2,0.230
3,-0.631
4,0.138
5,0.585
6,0.907